No. 1
Y5Ge2Sb2 | SCAN | PBEsol geometry

Unit cell a=8.4409 b=8.4409 c=7.8321 alpha=90.00 beta=90.00 gamma=55.13
Element x y z (fractional)
Y: 0.0000 0.0000 0.0000
Y: 0.0375 0.7066 0.6646
Y: 0.2066 0.5375 0.1646
Y: 0.2934 0.9625 0.6646
Y: 0.4625 0.7934 0.1646
Y: 0.5000 0.5000 0.5000
Y: 0.5375 0.2066 0.8354
Y: 0.7066 0.0375 0.3354
Y: 0.7934 0.4625 0.8354
Y: 0.9625 0.2934 0.3354
Ge: 0.1373 0.8627 0.3634
Ge: 0.3627 0.6373 0.8634
Ge: 0.6373 0.3627 0.1366
Ge: 0.8627 0.1373 0.6366
Sb: 0.2051 0.2051 0.0000
Sb: 0.2949 0.2949 0.5000
Sb: 0.7051 0.7051 0.5000
Sb: 0.7949 0.7949 0.0000

SG = Cmce
Formation energy without anion corrections = -1.11 eV per atom
Energy = -29.10 eV per atom



No. 2
Zr2GeSb | SCAN | PBEsol geometry

Unit cell a=4.8558 b=4.8558 c=4.8558 alpha=60.00 beta=60.00 gamma=60.00
Element x y z (fractional)
Zr: 0.2500 0.2500 0.2500
Zr: 0.7500 0.7500 0.7500
Ge: 0.0000 0.0000 0.0000
Sb: 0.5000 0.5000 0.5000

SG = Fm-3m
Formation energy without anion corrections = -0.47 eV per atom
Energy = -29.91 eV per atom



No. 3
ZrGeSb | SCAN | PBEsol geometry

Unit cell a=3.7848 b=3.7848 c=8.6049 alpha=90.00 beta=90.00 gamma=90.00
Element x y z (fractional)
Zr: 0.2500 0.2500 0.2495
Zr: 0.7500 0.7500 0.7505
Ge: 0.2500 0.7500 0.0000
Ge: 0.7500 0.2500 0.0000
Sb: 0.2500 0.2500 0.6104
Sb: 0.7500 0.7500 0.3896

SG = P4/nmm
Formation energy without anion corrections = -0.67 eV per atom
Energy = -29.69 eV per atom



No. 4
Sc5Ge3 | SCAN | PBEsol geometry

Unit cell a=7.8757 b=7.8757 c=5.8172 alpha=90.00 beta=90.00 gamma=120.00
Element x y z (fractional)
Sc: 0.0000 0.2402 0.2500
Sc: 0.0000 0.7598 0.7500
Sc: 0.2402 0.0000 0.2500
Sc: 0.2402 0.2402 0.7500
Sc: 0.3333 0.6667 0.0000
Sc: 0.3333 0.6667 0.5000
Sc: 0.6667 0.3333 0.0000
Sc: 0.6667 0.3333 0.5000
Sc: 0.7598 0.0000 0.7500
Sc: 0.7598 0.7598 0.2500
Ge: 0.0000 0.3944 0.7500
Ge: 0.0000 0.6056 0.2500
Ge: 0.3944 0.0000 0.7500
Ge: 0.3944 0.3944 0.2500
Ge: 0.6056 0.0000 0.2500
Ge: 0.6056 0.6056 0.7500

SG = P6_3/mcm
Formation enthalpy at 0 K = -917 meV/atom
Energy = -16.97 eV per atom



No. 5
Sc5Ge4 | SCAN | PBEsol geometry

Unit cell a=7.0156 b=13.6276 c=7.1910 alpha=90.00 beta=90.00 gamma=90.00
Element x y z (fractional)
Sc: 0.0111 0.0965 0.1786
Sc: 0.0111 0.4035 0.1786
Sc: 0.1431 0.6230 0.3329
Sc: 0.1431 0.8770 0.3329
Sc: 0.1902 0.2500 0.5002
Sc: 0.3098 0.7500 0.0002
Sc: 0.3569 0.1230 0.8329
Sc: 0.3569 0.3770 0.8329
Sc: 0.4889 0.5965 0.6786
Sc: 0.4889 0.9035 0.6786
Sc: 0.5111 0.0965 0.3214
Sc: 0.5111 0.4035 0.3214
Sc: 0.6431 0.6230 0.1671
Sc: 0.6431 0.8770 0.1671
Sc: 0.6902 0.2500 0.9998
Sc: 0.8098 0.7500 0.4998
Sc: 0.8569 0.1230 0.6671
Sc: 0.8569 0.3770 0.6671
Sc: 0.9889 0.5965 0.8214
Sc: 0.9889 0.9035 0.8214
Ge: 0.0563 0.2500 0.8845
Ge: 0.1807 0.7500 0.6435
Ge: 0.1970 0.0407 0.5366
Ge: 0.1970 0.4593 0.5366
Ge: 0.3030 0.5407 0.0366
Ge: 0.3030 0.9593 0.0366
Ge: 0.3193 0.2500 0.1435
Ge: 0.4437 0.7500 0.3845
Ge: 0.5563 0.2500 0.6155
Ge: 0.6807 0.7500 0.8565
Ge: 0.6970 0.0407 0.9634
Ge: 0.6970 0.4593 0.9634
Ge: 0.8030 0.5407 0.4634
Ge: 0.8030 0.9593 0.4634
Ge: 0.8193 0.2500 0.3565
Ge: 0.9437 0.7500 0.1155

SG = Pnma
Formation enthalpy at 0 K = -920 meV/atom
Energy = -17.31 eV per atom



No. 6
Sc2GeSe | SCAN | PBEsol geometry

Unit cell a=8.8032 b=8.8032 c=8.8032 alpha=23.24 beta=23.24 gamma=23.24
Element x y z (fractional)
Sc: 0.1031 0.1031 0.1031
Sc: 0.8969 0.8969 0.8969
Ge: 0.0000 0.0000 0.0000
Se: 0.5000 0.5000 0.5000

SG = R-3m
Formation energy without anion corrections = -0.64 eV per atom
Offset from the most stable computed form = 0.899 eV per formula unit
Energy = -17.55 eV per atom



No. 7
Sc2GeSe | SCAN | PBEsol geometry

Unit cell a=4.7552 b=4.7552 c=4.7552 alpha=60.00 beta=60.00 gamma=60.00
Element x y z (fractional)
Sc: 0.2500 0.2500 0.2500
Sc: 0.7500 0.7500 0.7500
Ge: 0.0000 0.0000 0.0000
Se: 0.5000 0.5000 0.5000

SG = Fm-3m
Formation energy without anion corrections = -0.86 eV per atom
Offset from the most stable computed form = 0.000 eV per formula unit
Energy = -17.77 eV per atom



No. 8
Sc2Ge2Se | SCAN | PBEsol geometry

Unit cell a=7.7217 b=7.7217 c=7.7217 alpha=152.90 beta=152.90 gamma=38.70
Element x y z (fractional)
Sc: 0.1046 0.1046 0.0000
Sc: 0.8954 0.8954 0.0000
Ge: 0.2500 0.7500 0.5000
Ge: 0.7500 0.2500 0.5000
Se: 0.5000 0.5000 0.0000

SG = I4/mmm
Formation energy without anion corrections = -0.93 eV per atom
Energy = -18.27 eV per atom



No. 9
Y2ScGeSe | SCAN | PBEsol geometry

Unit cell a=5.4413 b=5.4413 c=4.7463 alpha=90.00 beta=90.00 gamma=90.00
Element x y z (fractional)
Y: 0.0000 0.5000 0.0000
Y: 0.5000 0.0000 0.0000
Sc: 0.0000 0.0000 0.0000
Ge: 0.5000 0.5000 0.5000
Se: 0.0000 0.0000 0.5000

SG = P4/mmm
Formation energy without anion corrections = 0.31 eV per atom
Energy = -21.51 eV per atom



No. 10
ScSn3Ge | SCAN | PBEsol geometry

Unit cell a=5.3671 b=5.3671 c=5.3671 alpha=90.00 beta=90.00 gamma=90.00
Element x y z (fractional)
Sc: 0.0000 0.0000 0.0000
Sn: 0.0000 0.0000 0.5000
Sn: 0.0000 0.5000 0.0000
Sn: 0.5000 0.0000 0.0000
Ge: 0.5000 0.5000 0.5000

SG = Pm-3m
Formation enthalpy at 0 K = 627 meV/atom
Energy = -27.59 eV per atom